AlPtF | Alexandria via LeMat-Bulk | PBE | relaxed; calculated volume = 192 Å³ per cell; final energy = -5.666 eV per atom; total magnetic moment = 0.00 μB/f.u.; energy relative to the elements, uncorrected = -1.78 eV per atom
1.0
5.5495 -1.0345 0.0000
-1.6619 6.4891 0.0000
0.0000 0.0000 5.5997
Pt Al F
4 4 4
Direct
0.5034 0.0000 0.7500
0.0034 0.0000 0.7500
0.9966 0.0000 0.2500
0.4966 0.0000 0.2500
0.8763 0.2529 0.0000
0.1237 0.7471 0.0000
0.6237 0.7471 0.5000
0.3763 0.2529 0.5000
0.3665 0.5001 0.3465
0.1335 0.4999 0.8465
0.8665 0.5001 0.1535
0.6335 0.4999 0.6535